# 1
The following is a PBE calculation of an optimized crystal structure of BaSb, from Alexandria.

Computed properties:
Density of states at the Fermi level: 1.8 states/eV/f.u.
Calculated density: 5.681 g cm⁻³
DFT total energy: -30.37 eV for the cell shown

abc: 4.650 5.265 12.372
angles: 90.00 90.00 90.00
Space group Imma (No. 74)
One atom of each set of equivalent atoms:
1 Ba 0.000 0.250 0.119 [4 per cell]
2 Sb 0.000 0.250 0.649 [4 per cell]

=====

# 2
The following is a PBE calculation of an optimized crystal structure of Ba2Sb, from Alexandria.

Computed properties:
Density of states at the Fermi level: 0.9 states/eV/f.u.
Calculated density: 5.395 g cm⁻³
DFT total energy: -33.28 eV for the cell shown

abc: 7.3319 7.3319 10.4839
angles: 90.00 90.00 120.00
Space group P6_3/mmc (No. 194)
One atom of each set of equivalent atoms:
1 Ba 0.0000 0.0000 0.0000 [2 per cell]
2 Ba 0.1817 0.3634 0.2500 [6 per cell]
3 Sb 0.3333 0.6667 0.5544 [4 per cell]

=====

# 3
The following is a PBE calculation of an optimized crystal structure of Ba2Sb3, from Alexandria.

Computed properties:
Density of states at the Fermi level: 0.1 states/eV/f.u.
Calculated density: 5.522 g cm⁻³
DFT total energy: -163.69 eV for the cell shown

abc: 7.032 13.683 16.002
angles: 90.00 90.17 90.00
Space group P2_1/c (No. 14)
One atom of each set of equivalent atoms:
1 Ba 0.022 0.228 0.240 [4 per cell]
2 Ba 0.246 0.623 0.006 [4 per cell]
3 Ba 0.253 0.126 0.993 [4 per cell]
4 Ba 0.475 0.523 0.246 [4 per cell]
5 Sb 0.002 0.020 0.669 [4 per cell]
6 Sb 0.101 0.548 0.656 [4 per cell]
7 Sb 0.244 0.117 0.419 [4 per cell]
8 Sb 0.257 0.633 0.430 [4 per cell]
9 Sb 0.411 0.707 0.662 [4 per cell]
10 Sb 0.494 0.231 0.660 [4 per cell]